1.
{"formula": "Sr2AgHgH", "functional": "PBE", "state": "optimized geometry", "space_group": "No. 123", "magnetic_moment_mub_per_fu": 0.00, "e_above_lowest_polymorph_mev_per_atom": 0, "lattice": [[5.5156, 0.0000, 0.0000], [0.0000, 5.5156, 0.0000], [0.0000, 0.0000, 4.0560]], "species": ["H", "Sr", "Ag", "Hg", "Sr"], "frac_coords": [[0.0000, 0.0000, 0.0000], [0.0000, 0.5000, 0.0000], [0.0000, 0.0000, 0.5000], [0.5000, 0.5000, 0.5000], [0.5000, 0.0000, 0.0000]]}

=====

2.
{"formula": "Pr3Hg3Rh2", "functional": "PBE", "state": "optimized geometry", "space_group": "No. 12", "magnetic_moment_mub_per_fu": 0.00, "formation_enthalpy_0k_ev_per_atom": -0.49, "e_above_lowest_polymorph_mev_per_atom": 31, "lattice": [[4.3958, 0.0000, 0.0000], [0.0000, 5.2917, -0.0035], [-2.1979, -1.5785, 8.7018]], "species": ["Hg", "Rh", "Pr", "Pr", "Rh", "Pr", "Hg", "Hg"], "frac_coords": [[0.5000, 0.5000, 0.0000], [0.2312, 0.1401, 0.4624], [0.8336, 0.4042, 0.6672], [0.1664, 0.5958, 0.3328], [0.7688, 0.8599, 0.5376], [0.0000, 0.0000, 0.0000], [0.6321, 0.0899, 0.2641], [0.3679, 0.9101, 0.7359]]}

=====

3.
{"formula": "CdBi3Pd", "functional": "PBE", "state": "optimized geometry", "space_group": "No. 221", "magnetic_moment_mub_per_fu": 0.00, "formation_enthalpy_0k_ev_per_atom": 0.28, "e_above_lowest_polymorph_mev_per_atom": 409, "lattice": [[-0.6529, -2.7738, 4.6154], [-3.1015, -3.6068, -2.6064], [4.4018, -2.9528, -1.1519]], "species": ["Bi", "Pd", "Cd", "Bi", "Bi"], "frac_coords": [[0.0000, 0.0000, 0.5000], [0.0000, 0.0000, 0.0000], [0.5000, 0.5000, 0.5000], [0.5000, 0.0000, 0.0000], [0.0000, 0.5000, 0.0000]]}

=====

4.
{"formula": "BaSr3Pd", "functional": "PBE", "state": "optimized geometry", "space_group": "No. 62", "magnetic_moment_mub_per_fu": 0.00, "formation_enthalpy_0k_ev_per_atom": -0.12, "e_above_lowest_polymorph_mev_per_atom": 174, "lattice": [[-0.0447, -2.0696, 7.2044], [-8.8531, -9.3718, -2.7472], [6.6232, -5.7817, -1.6198]], "species": ["Ba", "Sr", "Pd", "Pd", "Ba", "Sr", "Ba", "Sr", "Sr", "Pd", "Sr", "Sr", "Sr", "Sr", "Sr", "Sr", "Pd", "Sr", "Ba", "Sr"], "frac_coords": [[0.0000, 0.0000, 0.5000], [0.4612, 0.8813, 0.6305], [0.1065, 0.7500, 0.5640], [0.3935, 0.2500, 0.0640], [0.0000, 0.5000, 0.5000], [0.9612, 0.6187, 0.8695], [0.5000, 0.0000, 0.0000], [0.7790, 0.7500, 0.2686], [0.5388, 0.3813, 0.3695], [0.8935, 0.2500, 0.4360], [0.0388, 0.3813, 0.1305], [0.0388, 0.1187, 0.1305], [0.9612, 0.8813, 0.8695], [0.2210, 0.2500, 0.7314], [0.4612, 0.6187, 0.6305], [0.5388, 0.1187, 0.3695], [0.6065, 0.7500, 0.9360], [0.7210, 0.2500, 0.7686], [0.5000, 0.5000, 0.0000], [0.2790, 0.7500, 0.2314]]}

=====

5.
{"formula": "CuRe2Te", "functional": "PBE", "state": "optimized geometry", "space_group": "No. 123", "magnetic_moment_mub_per_fu": 0.00, "raw_formation_energy_ev_per_atom": 0.741, "lattice": [[3.1868, 0.0000, 0.0000], [0.0000, 3.1868, 0.0000], [0.0000, 0.0000, 6.2699]], "species": ["Re", "Cu", "Te", "Re"], "frac_coords": [[0.0000, 0.0000, 0.9597], [0.5000, 0.5000, 0.7500], [0.5000, 0.5000, 0.2500], [0.0000, 0.0000, 0.5403]]}

=====

6.
{"formula": "Na2TcGeH", "functional": "PBE", "state": "optimized geometry", "space_group": "No. 123", "magnetic_moment_mub_per_fu": 2.85, "final_energy_ev_per_atom": -3.31, "lattice": [[5.8013, 0.0000, 0.0000], [0.0000, 3.2777, 0.0000], [0.0000, 0.0000, 5.8013]], "species": ["Ge", "Tc", "H", "Na", "Na"], "frac_coords": [[0.5000, 0.5000, 0.5000], [0.0000, 0.0000, 0.0000], [0.0000, 0.5000, 0.0000], [0.5000, 0.0000, 0.0000], [0.0000, 0.0000, 0.5000]]}

=====

7.
{"formula": "Na2TcBr", "functional": "PBE", "state": "optimized geometry", "space_group": "No. 122", "magnetic_moment_mub_per_fu": 3.39, "e_above_lowest_polymorph_mev_per_atom": 0, "raw_formation_energy_ev_per_atom": 0.599, "lattice": [[-2.7281, 7.1423, 3.3560], [-7.8670, -2.1827, -1.7500], [-5.5137, 1.1776, 3.3987]], "species": ["Tc", "Tc", "Na", "Na", "Na", "Br", "Br", "Na"], "frac_coords": [[0.0000, 0.0000, 0.0000], [0.7500, 0.2500, 0.5000], [0.3750, 0.4056, 0.7500], [0.5944, 0.1250, 0.2500], [0.8750, 0.8444, 0.7500], [0.5000, 0.5000, 0.0000], [0.2500, 0.7500, 0.5000], [0.1556, 0.6250, 0.2500]]}

=====

8.
{"formula": "Dy3ErTm2", "functional": "PBE", "state": "optimized geometry", "space_group": "No. 2", "magnetic_moment_mub_per_fu": 0.00, "formation_enthalpy_0k_ev_per_atom": 0.00, "lattice": [[-2.2938, 6.1578, 2.6522], [-3.6764, -3.8106, -8.5315], [-2.6714, -6.1078, 2.3990]], "species": ["Tm", "Dy", "Dy", "Tm", "Dy", "Er", "Tm", "Dy", "Er", "Tm", "Dy", "Dy"], "frac_coords": [[0.6957, 0.3341, 0.1395], [0.8053, 0.6656, 0.8611], [0.7487, 0.9991, 0.2495], [0.3045, 0.6663, 0.3606], [0.1950, 0.3349, 0.6389], [0.7488, 0.9993, 0.7494], [0.6955, 0.3337, 0.6394], [0.8050, 0.6651, 0.3611], [0.2512, 0.0007, 0.2506], [0.3043, 0.6659, 0.8605], [0.1947, 0.3344, 0.1389], [0.2513, 0.0009, 0.7505]]}